# 1
DFT (GGA-PBE) results for PmSi3Ni4 after structural relaxation.

a b c (Å): 3.9284 3.9284 7.4836
angles (deg): 90.00 90.00 90.00
With the nearest neighbours (Å) after each atom.
Space group P4/mmm (No. 123)
Asymmetric unit:
Pm (0.0000, 0.0000, 0.0000) (multiplicity 1)  8 Si 3.04, 8 Ni 3.15
Si (0.0000, 0.0000, 0.5000) (multiplicity 1)  8 Ni 2.34
Si (0.5000, 0.5000, 0.1662) (multiplicity 2)  4 Ni 2.31, 1 Si 2.49
Ni (0.0000, 0.5000, 0.3294) (multiplicity 4)  4 Si 2.31-2.34, 1 Ni 2.55

Spin magnetization, μB/cell: 0.0
VASP energy, eV/atom: -6.156
Formation energy (no corrections), meV/atom: -638


# 2
DFT (GGA-PBE) results for YBe17Re after structural relaxation.

a b c (Å): 7.4641 7.4641 10.8673
angles (deg): 90.00 90.00 120.00
With the nearest neighbours (Å) after each atom.
Space group R3m (No. 160, hexagonal axes)
Asymmetric unit:
Y (0.0000, 0.0000, 0.0000) (multiplicity 3)  19 Be 2.70-2.87
Be (0.0000, 0.0000, 0.5571) (multiplicity 3)  7 Be 2.10-2.27
Be (0.0000, 0.0000, 0.7507) (multiplicity 3)  4 Be 2.10-2.30
Be (0.0000, 0.5000, 0.1594) (multiplicity 9)  10 Be 2.10-2.30
Be (0.0455, 0.3713, 0.3267) (multiplicity 18)  8 Be 2.09-2.31
Be (0.1701, 0.3402, 0.1507) (multiplicity 9)  9 Be 2.13-2.31
Be (0.1719, 0.3438, 0.8383) (multiplicity 9)  8 Be 2.16-2.29
Re (0.0000, 0.0000, 0.3251) (multiplicity 3)  16 Be 2.52-2.82

Spin magnetization, μB/cell: 0.0
Energy of formation from the pure elements, eV per atom: -0.09
VASP energy, eV/atom: -4.423


# 3
DFT (GGA-PBE) results for Sm7Dy2Mg2 after structural relaxation.

a b c (Å): 9.7785 11.8322 6.7387
angles (deg): 90.00 113.17 90.00
With the nearest neighbours (Å) after each atom.
Space group C2/m (No. 12)
Asymmetric unit:
Sm (0.0000, 0.0000, 0.0000) (multiplicity 2)  2 Mg 3.30, 4 Sm 3.40
Sm (0.1666, 0.5000, 0.4804) (multiplicity 4)  3 Mg 3.36-3.42, 6 Sm 3.37-3.73, 2 Dy 3.60
Sm (0.1761, 0.2474, 0.2012) (multiplicity 8)  2 Dy 3.31-3.38, 1 Mg 3.33, 5 Sm 3.40-3.60
Dy (0.0000, 0.1374, 0.5000) (multiplicity 4)  1 Dy 3.25, 6 Sm 3.31-3.60
Mg (0.1560, 0.5000, 0.9730) (multiplicity 4)  1 Mg 3.21, 6 Sm 3.30-3.42

Polymorph energy (0 for the lowest one), meV/atom: 37
Spin magnetization, μB/cell: 0.0
Energy of formation from the pure elements, eV per atom: 0.18
VASP energy, eV/atom: -3.947